# NbV3Ni

A relaxed structure of NbV3Ni (GGA-PBE, the Alexandria database).

Calculated values
The total magnetic moment is 0.00 μB/cell. The density of states at the Fermi level comes out at 12.61 states/eV/cell. The calculated formation energy comes out at 0.173 eV/atom.

Cell lengths 4.802, 5.075, 6.429 Å; angles 113.25, 90.00, 90.00 degrees
Element x y z (fractional)
V 0.750 0.093 0.686
V 0.750 0.181 0.362
V 0.250 0.907 0.314
V 0.250 0.819 0.638
V 0.750 0.593 0.686
V 0.250 0.407 0.314
Nb 0.750 0.577 0.153
Nb 0.250 0.423 0.847
Ni 0.000 0.000 0.000
Ni 0.500 0.000 0.000


# MgZn2O

A relaxed structure of MgZn2O (GGA-PBE, the Alexandria database).

Calculated values
The total magnetic moment is 0.00 μB/cell. The density of states at the Fermi level comes out at 2.76 states/eV/cell. The value obtained for the raw formation energy is 0.239 eV/atom.

Cell lengths 4.456, 4.456, 4.456 Å; angles 60.00, 60.00, 60.00 degrees
Element x y z (fractional)
O 0.000 0.000 0.000
Zn 0.250 0.250 0.250
Zn 0.750 0.750 0.750
Mg 0.500 0.500 0.500


# Ti2CuPd

A relaxed structure of Ti2CuPd (GGA-PBE, the Alexandria database).

Calculated values
The total magnetic moment is 0.57 μB/cell. The density of states at the Fermi level comes out at 5.74 states/eV/cell. The calculated formation energy comes out at -0.266 eV/atom.

Cell lengths 3.160, 3.160, 6.124 Å; angles 90.00, 90.00, 90.00 degrees
Element x y z (fractional)
Cu 0.500 0.500 0.000
Pd 0.500 0.500 0.500
Ti 0.000 0.000 0.239
Ti 0.000 0.000 0.761


Repeat the second record exactly.
# MgZn2O

A relaxed structure of MgZn2O (GGA-PBE, the Alexandria database).

Calculated values
The total magnetic moment is 0.00 μB/cell. The density of states at the Fermi level comes out at 2.76 states/eV/cell. The value obtained for the raw formation energy is 0.239 eV/atom.

Cell lengths 4.456, 4.456, 4.456 Å; angles 60.00, 60.00, 60.00 degrees
Element x y z (fractional)
O 0.000 0.000 0.000
Zn 0.250 0.250 0.250
Zn 0.750 0.750 0.750
Mg 0.500 0.500 0.500


- total magnetic moment of number 3 (Ti2CuPd)?
  0.57 μB/cell